(1)
# NaCoH3

An optimized crystal structure of NaCoH3 (PBEsol, Alexandria). Values from VASP.

Quantum ESPRESSO input file:
```
&SYSTEM
  ibrav = 0, nat = 10, ntyp = 3
/
ATOMIC_SPECIES
H 1.01 H.upf
Co 58.93 Co.upf
Na 22.99 Na.upf
ATOMIC_POSITIONS crystal
H 0.750 0.857 0.143
H 0.250 0.714 0.857
H 0.750 0.857 0.714
H 0.250 0.143 0.286
H 0.250 0.143 0.857
H 0.750 0.286 0.143
Co 0.000 0.000 0.000
Co 0.500 0.000 0.000
Na 0.750 0.333 0.667
Na 0.250 0.667 0.333
CELL_PARAMETERS angstrom
-3.539 2.001 -1.929
-2.564 -0.574 4.108
2.651 4.037 -0.675
```

Values from the calculation:
* E_tot: -3.95 eV per atom
* total magnetic moment: 0.874 μB per formula unit
* ρ: 3.04 g cm⁻³
* D(E_F): 0.195 states/eV/atom

(2)
# Na5CoHO4

An optimized crystal structure of Na5CoHO4 (PBEsol, Alexandria). Values from VASP.

Quantum ESPRESSO input file:
```
&SYSTEM
  ibrav = 0, nat = 88, ntyp = 4
/
ATOMIC_SPECIES
Co 58.93 Co.upf
Na 22.99 Na.upf
O 16.00 O.upf
H 1.01 H.upf
ATOMIC_POSITIONS crystal
Co 0.985 0.750 0.790
Co 0.015 0.250 0.210
Co 0.708 0.250 0.883
Co 0.485 0.750 0.710
Co 0.515 0.250 0.290
Co 0.208 0.250 0.617
Co 0.792 0.750 0.383
Co 0.292 0.750 0.117
Na 0.086 0.750 0.441
Na 0.282 0.422 0.187
Na 0.616 0.250 0.522
Na 0.782 0.078 0.313
Na 0.502 0.911 0.283
Na 0.414 0.250 0.941
Na 0.924 0.568 0.588
Na 0.424 0.568 0.912
Na 0.718 0.922 0.813
Na 0.002 0.589 0.217
Na 0.282 0.078 0.187
Na 0.498 0.411 0.717
Na 0.924 0.932 0.588
Na 0.133 0.564 0.984
Na 0.718 0.578 0.813
Na 0.218 0.922 0.687
Na 0.867 0.064 0.016
Na 0.633 0.936 0.516
Na 0.076 0.068 0.412
Na 0.576 0.432 0.088
Na 0.367 0.436 0.484
Na 0.424 0.932 0.912
Na 0.914 0.250 0.559
Na 0.633 0.564 0.516
Na 0.367 0.064 0.484
Na 0.576 0.068 0.088
Na 0.586 0.750 0.059
Na 0.384 0.750 0.478
Na 0.867 0.436 0.016
Na 0.133 0.936 0.984
Na 0.998 0.411 0.783
Na 0.782 0.422 0.313
Na 0.002 0.911 0.217
Na 0.116 0.250 0.978
Na 0.502 0.589 0.283
Na 0.998 0.089 0.783
Na 0.498 0.089 0.717
Na 0.884 0.750 0.022
Na 0.218 0.578 0.687
Na 0.076 0.432 0.412
O 0.889 0.250 0.887
O 0.747 0.418 0.637
O 0.253 0.918 0.363
O 0.611 0.750 0.387
O 0.563 0.400 0.377
O 0.904 0.599 0.395
O 0.937 0.600 0.877
O 0.247 0.082 0.863
O 0.389 0.250 0.613
O 0.753 0.582 0.137
O 0.247 0.418 0.863
O 0.096 0.401 0.605
O 0.063 0.400 0.123
O 0.437 0.900 0.623
O 0.942 0.250 0.348
O 0.253 0.582 0.363
O 0.096 0.099 0.605
O 0.111 0.750 0.113
O 0.063 0.100 0.123
O 0.563 0.100 0.377
O 0.753 0.918 0.137
O 0.596 0.099 0.895
O 0.442 0.250 0.152
O 0.437 0.600 0.623
O 0.904 0.901 0.395
O 0.937 0.900 0.877
O 0.596 0.401 0.895
O 0.404 0.901 0.105
O 0.058 0.750 0.652
O 0.558 0.750 0.848
O 0.747 0.082 0.637
O 0.404 0.599 0.105
H 0.755 0.862 0.207
H 0.755 0.638 0.207
H 0.745 0.138 0.707
H 0.255 0.862 0.293
H 0.245 0.362 0.793
H 0.745 0.362 0.707
H 0.255 0.638 0.293
H 0.245 0.138 0.793
CELL_PARAMETERS angstrom
9.825 0.000 0.000
0.000 9.901 0.000
0.000 0.000 11.727
```

Values from the calculation:
* E_tot: -4.76 eV per atom
* total magnetic moment: 3.000 μB per formula unit
* ρ: 2.78 g cm⁻³
* D(E_F): 0.217 states/eV/atom